1.
## Rb2Cu2Pb (GGA-PBE)

Data for an optimized crystal structure of Rb2Cu2Pb.

Output
SG: I4/mmm (139)
Excess energy over the best structure of this formula in the dataset, eV/atom: 0.3700
Magnetic moment, Bohr magnetons per cell: 0.00
Total energy, eV/atom: -2.113
Energy relative to the elements, eV per atom: 0.655
D(E_F), states/eV/f.u.: 4.5

```
Rb2Cu2Pb
1.0
-2.407 2.407 7.066
2.407 -2.407 7.066
2.407 2.407 -7.066
Rb Cu Pb
2 2 1
direct
0.250 0.750 0.500
0.750 0.250 0.500
0.082 0.082 0.000
0.918 0.918 0.000
0.500 0.500 0.000
```

---

2.
## YScSeN2 (GGA-PBE)

Data for an optimized crystal structure of YScSeN2.

Output
SG: P4/mmm (123)
Excess energy over the best structure of this formula in the dataset, eV/atom: 0.5553
Magnetic moment, Bohr magnetons per cell: 0.90
Total energy, eV/atom: -6.465
Energy relative to the elements, uncorrected, eV/atom: 0.12
D(E_F), states/eV/f.u.: 1.8

```
YScSeN2
1.0
4.258 0.000 0.000
0.000 4.258 0.000
0.000 0.000 5.564
Y Sc Se N
1 1 1 2
direct
0.000 0.000 0.000
0.500 0.500 0.500
0.000 0.000 0.500
0.000 0.500 0.000
0.500 0.000 0.000
```

---

3.
## CeErO2 (GGA-PBE)

Data for an optimized crystal structure of CeErO2.

Output
SG: R-3m (166)
Magnetic moment, Bohr magnetons per cell: 0.00
Total energy, eV/atom: -7.992
Energy relative to the elements, uncorrected, eV/atom: -2.89
D(E_F), states/eV/f.u.: 4.0

```
CeErO2
1.0
1.693 0.977 5.864
-1.693 0.977 5.864
0.000 -1.955 5.864
Ce Er O
1 1 2
direct
0.000 0.000 0.000
0.500 0.500 0.500
0.236 0.236 0.236
0.764 0.764 0.764
```

---

4.
## Tb6FeSb2 (GGA-PBE)

Data for an optimized crystal structure of Tb6FeSb2.

Output
SG: P-62m (189)
Magnetic moment, Bohr magnetons per cell: 0.33
Total energy, eV/atom: -5.492
Energy relative to the elements, uncorrected, eV/atom: -0.55
D(E_F), states/eV/f.u.: 8.0

```
Tb6FeSb2
1.0
8.267 0.000 0.000
-4.134 7.159 0.000
0.000 0.000 4.150
Tb Fe Sb
6 1 2
direct
0.000 0.235 0.000
0.000 0.599 0.500
0.235 0.000 0.000
0.401 0.401 0.500
0.599 0.000 0.500
0.765 0.765 0.000
0.000 0.000 0.500
0.333 0.667 0.000
0.667 0.333 0.000
```